(1)
Density functional theory data (PBE) for a relaxed structure of ZrTiSbPb2.

Values from the calculation:
* total magnetic moment: 0.00 μB per formula unit
* formation energy without anion corrections: 13.8 kcal/mol of atoms
* D(E_F): 5.35 states/eV per cell

Cell: 5.564 5.564 5.517 Å, 90.00 90.00 90.00°
Space group P4/mmm (No. 123)
One atom of each set of equivalent atoms:
Zr (0.000, 0.000, 0.000) [1 per cell]
Ti (0.000, 0.000, 0.500) [1 per cell]
Sb (0.500, 0.500, 0.000) [1 per cell]
Pb (0.000, 0.500, 0.500) [2 per cell]

---

(2)
Density functional theory data (PBE) for a relaxed structure of TbDy4Er2Mg.

Values from the calculation:
* total magnetic moment: 0.00 μB per formula unit
* energy of formation: 1.9 kJ/mol of atoms
* D(E_F): 11.79 states/eV per cell

Cell: 4.945 4.945 9.909 Å, 90.00 90.00 90.00°
Space group P4/mmm (No. 123)
One atom of each set of equivalent atoms:
Tb (0.000, 0.000, 0.000) [1 per cell]
Dy (0.000, 0.500, 0.253) [4 per cell]
Er (0.000, 0.000, 0.500) [1 per cell]
Er (0.500, 0.500, 0.000) [1 per cell]
Mg (0.500, 0.500, 0.500) [1 per cell]

---

(3)
Density functional theory data (PBE) for a relaxed structure of LiPd6Au3.

Values from the calculation:
* total magnetic moment: 0.00 μB per formula unit
* energy of formation: -12.4 kJ/mol of atoms
* D(E_F): 19.28 states/eV per cell
* energy above the most stable polymorph in this dataset: 0 meV/atom

Cell: 8.884 4.003 8.944 Å, 90.00 90.60 90.00°
Space group P2_1/m (No. 11)
One atom of each set of equivalent atoms:
Li (0.053, 0.250, 0.394) [2 per cell]
Pd (0.046, 0.750, 0.893) [2 per cell]
Pd (0.139, 0.250, 0.689) [2 per cell]
Pd (0.147, 0.750, 0.201) [2 per cell]
Pd (0.234, 0.750, 0.496) [2 per cell]
Pd (0.340, 0.250, 0.301) [2 per cell]
Pd (0.448, 0.750, 0.101) [2 per cell]
Au (0.247, 0.250, 0.999) [2 per cell]
Au (0.347, 0.750, 0.795) [2 per cell]
Au (0.448, 0.250, 0.597) [2 per cell]

---

(4)
Density functional theory data (PBE) for a relaxed structure of NiPdPt6.

Values from the calculation:
* total magnetic moment: 1.81 μB per formula unit
* energy of formation: -5.2 kJ/mol of atoms
* D(E_F): 14.27 states/eV per cell

Cell: 3.927 3.927 7.855 Å, 90.00 90.00 90.00°
Space group P4/mmm (No. 123)
One atom of each set of equivalent atoms:
Ni (0.000, 0.000, 0.000) [1 per cell]
Pd (0.000, 0.000, 0.500) [1 per cell]
Pt (0.000, 0.500, 0.242) [4 per cell]
Pt (0.500, 0.500, 0.000) [1 per cell]
Pt (0.500, 0.500, 0.500) [1 per cell]

---

(5)
Density functional theory data (PBE) for a relaxed structure of V5FeOs4.

Values from the calculation:
* total magnetic moment: 1.45 μB per formula unit
* energy of formation: -21.8 kJ/mol of atoms
* D(E_F): 10.84 states/eV per cell

Cell: 3.002 3.002 14.919 Å, 90.00 90.00 90.00°
Space group P4/mmm (No. 123)
One atom of each set of equivalent atoms:
V (0.000, 0.000, 0.000) [1 per cell]
V (0.000, 0.000, 0.205) [2 per cell]
V (0.000, 0.000, 0.409) [2 per cell]
Fe (0.500, 0.500, 0.500) [1 per cell]
Os (0.500, 0.500, 0.102) [2 per cell]
Os (0.500, 0.500, 0.307) [2 per cell]